The following is a DFT calculation (PBE with a Hubbard U) of an optimized crystal structure of KMoO3.

Output
As for the total energy: -122.43 eV per cell.

abc: 5.991 8.470 8.862
angles: 90.00 90.00 90.00
Space group Immm (No. 71)
Inequivalent atoms, fractional coordinates:
K 0.000 0.227 0.000 x4
Mo 0.000 0.000 0.351 x4
O 0.000 0.175 0.500 x4
O 0.246 0.000 0.241 x8